[1]
DFT (GGA-PBEsol) results for a relaxed GdPt2 crystal.

The calculation puts the formation energy at -1.1028 eV per atom. Its crystal system is cubic.

The structure belongs to space group Fd-3m (No. 227, origin choice 2); the cell edges are 7.605, 7.605 and 7.605 Å and the angles 90.00°, 90.00° and 90.00°. The inequivalent atoms are Gd at (0.125, 0.125, 0.125) and Pt at (0.000, 0.000, 0.500).


[2]
DFT (GGA-PBEsol) results for a relaxed GdPt crystal.

The calculation puts the formation energy at -1.1844 eV per atom. Its crystal system is orthorhombic.

The structure belongs to space group Pnma (No. 62); the cell edges are 7.016, 4.475 and 5.547 Å and the angles 90.00°, 90.00° and 90.00°. The inequivalent atoms are Gd at (0.182, 0.250, 0.141) and Pt at (0.043, 0.250, 0.654).


[3]
DFT (GGA-PBEsol) results for a relaxed GdSi2Pt2 crystal.

For the formation energy without anion corrections, the calculation gives -1.15 eV per atom. Its crystal system is tetragonal.

The structure belongs to space group P4/nmm (No. 129, origin choice 2); the cell edges are 4.170, 4.170 and 9.793 Å and the angles 90.00°, 90.00° and 90.00°. The inequivalent atoms are Gd at (0.250, 0.250, 0.245), Si at (0.250, 0.250, 0.634), Si at (0.250, 0.750, 0.000), Pt at (0.250, 0.250, 0.876) and Pt at (0.250, 0.750, 0.500).


[4]
DFT (GGA-PBEsol) results for a relaxed GdSi2Pt2 crystal.

For the formation energy without anion corrections, the calculation gives -1.08 eV per atom. Its crystal system is tetragonal.

The structure belongs to space group I4/mmm (No. 139); the cell edges are 4.115, 4.115 and 9.947 Å and the angles 90.00°, 90.00° and 90.00°. The inequivalent atoms are Gd at (0.000, 0.000, 0.000), Si at (0.000, 0.000, 0.383) and Pt at (0.000, 0.500, 0.250).


| no. | E (eV/atom) | density (g/cm³) | DOS(E_F) (states/eV/cell) |
| --- | --- | --- | --- |
| 1 | -10.56 | 16.53 | 10.38 |
| 2 | -11.89 | 13.44 | 4.52 |
| 3 | -9.13 | 11.77 | 5.49 |
| 4 | -9.05 | 11.90 | 7.25 |